A plane-wave DFT calculation with PBE was carried out for a relaxed Ac3Tl3BiO8 crystal.

Summary:
- formation energy from raw total energies (eV/f.u.) = -29.01
- calculated total energy (eV per atom) = -6.1319

Cell lengths 7.861, 7.861, 7.861 Å; angles 57.96, 57.96, 57.96 degrees
Sites, in units of the cell vectors:
Ac  0.000  0.500  0.500
Ac  0.500  0.000  0.500
Ac  0.500  0.500  0.000
Tl  0.000  0.000  0.500
Tl  0.000  0.500  0.000
Tl  0.500  0.000  0.000
Bi  0.000  0.000  0.000
O  0.212  0.212  0.752
O  0.212  0.752  0.212
O  0.248  0.788  0.788
O  0.274  0.274  0.274
O  0.726  0.726  0.726
O  0.752  0.212  0.212
O  0.788  0.248  0.788
O  0.788  0.788  0.248